1.
{"formula": "InCuSeS", "functional": "GGA-PBEsol", "state": "relaxed", "lattice_angstrom": [[-2.237, 1.442, -4.936], [-5.099, 0.173, 2.362], [4.434, 4.667, 2.540]], "species": ["Se", "In", "Cu", "S", "Cu", "Se", "In", "S"], "fractional_positions": [[0.250, 0.541, 0.000], [0.372, 0.122, 0.745], [0.861, 0.611, 0.721], [0.973, 0.750, 0.500], [0.639, 0.889, 0.279], [0.750, 0.959, 0.000], [0.128, 0.378, 0.255], [0.527, 0.250, 0.500]], "e_form_raw_ev_per_atom": -0.450, "sg": "I2_12_12_1, No. 24"}

2.
{"formula": "Sm2InCuS5", "functional": "GGA-PBEsol", "state": "relaxed", "lattice_angstrom": [[3.821, 0.000, 0.000], [0.000, 11.361, 0.000], [0.000, 0.000, 16.334]], "species": ["In", "Cu", "Sm", "In", "Cu", "S", "Sm", "S", "S", "S", "S", "S", "Sm", "S", "S", "Sm", "Sm", "S", "S", "S", "Sm", "Sm", "S", "Cu", "S", "S", "In", "Cu", "S", "In", "S", "Sm", "S", "S", "S", "S"], "fractional_positions": [[0.750, 0.306, 0.863], [0.250, 0.580, 0.504], [0.250, 0.974, 0.820], [0.250, 0.194, 0.363], [0.750, 0.420, 0.496], [0.750, 0.107, 0.465], [0.750, 0.864, 0.403], [0.250, 0.904, 0.080], [0.750, 0.514, 0.805], [0.750, 0.316, 0.613], [0.250, 0.486, 0.195], [0.750, 0.014, 0.695], [0.250, 0.474, 0.680], [0.250, 0.239, 0.769], [0.750, 0.261, 0.269], [0.750, 0.026, 0.180], [0.750, 0.526, 0.320], [0.750, 0.596, 0.580], [0.250, 0.986, 0.305], [0.250, 0.684, 0.387], [0.750, 0.364, 0.097], [0.250, 0.636, 0.903], [0.750, 0.761, 0.231], [0.250, 0.080, 0.996], [0.250, 0.739, 0.731], [0.750, 0.607, 0.035], [0.750, 0.806, 0.637], [0.750, 0.920, 0.004], [0.250, 0.184, 0.113], [0.250, 0.694, 0.137], [0.250, 0.893, 0.535], [0.250, 0.136, 0.597], [0.250, 0.393, 0.965], [0.750, 0.096, 0.920], [0.750, 0.816, 0.887], [0.250, 0.404, 0.420]], "e_form_raw_ev_per_atom": -1.420, "sg": "Pnma, No. 62"}